GGA+U CoRu3O, optimized geometry; relative energy among the computed polymorphs = 0 meV/atom; size of the total moment = 3.13 μB per formula unit; SG = No. 221; DOS(E_F) = 1.18 states/eV/atom; electronic total energy = -7.11 eV/atom
1.0
-1.635 2.284 -2.889
1.366 -2.560 -2.796
-3.421 -2.113 0.264
Ru Co O
3 1 1
direct
0.000 0.500 0.000 Ru
0.000 0.000 0.500 Ru
0.500 0.000 0.000 Ru
0.500 0.500 0.500 Co
0.000 0.000 0.000 O